Compound: Nb3HOs
Source: Alexandria via LeMat-Bulk
Functional: PBE
Structure: relaxed

a = 4.878 Å, b = 4.878 Å, c = 4.878 Å
α = 90.00°, β = 90.00°, γ = 90.00°
Space group Pm-3m (No. 221)
Unique sites:
Nb1 0.000 0.000 0.500 (multiplicity 3)
H1 0.500 0.500 0.500 (multiplicity 1)
Os1 0.000 0.000 0.000 (multiplicity 1)

Compound: HfHW3
Source: Alexandria via LeMat-Bulk
Functional: PBE
Structure: relaxed

a = 4.167 Å, b = 4.167 Å, c = 4.167 Å
α = 90.00°, β = 90.00°, γ = 90.00°
Space group Pm-3m (No. 221)
Unique sites:
Hf1 0.000 0.000 0.000 (multiplicity 1)
H1 0.500 0.500 0.500 (multiplicity 1)
W1 0.000 0.500 0.500 (multiplicity 3)

Compound: BaOsSe2
Source: Alexandria via LeMat-Bulk
Functional: PBE
Structure: relaxed

a = 3.907 Å, b = 6.307 Å, c = 8.399 Å
α = 90.00°, β = 90.00°, γ = 90.00°
Space group Immm (No. 71)
Unique sites:
Ba1 0.000 0.000 0.000 (multiplicity 2)
Os1 0.000 0.000 0.500 (multiplicity 2)
Se1 0.000 0.500 0.180 (multiplicity 4)

Calculated values
formation energy from raw total energies = -0.53 eV/atom

Number 1: relative energy among the computed polymorphs 38.276 kcal/mol of atoms, VASP energy -7.274 eV per atom. Number 2: relative energy among the computed polymorphs 0.000 kcal/mol of atoms, VASP energy -10.070 eV per atom. Number 3: relative energy among the computed polymorphs 2.332 kcal/mol of atoms, VASP energy -5.563 eV per atom.